#w
Material: CeHoPu2
Method: DFT, PBE
State: optimized geometry

Geometry as POSCAR:
```
CeHoPu2
1.0
-4.694 1.033 0.304
-2.634 0.436 -4.008
-3.516 -4.435 -1.065
Pu Ho Ce
2 1 1
Direct
0.167 0.167 0.499
0.833 0.833 0.501
0.500 0.500 0.500
0.000 0.000 0.000
```

Results
symmetry = R-3m
spin magnetization = 0.54 μB per formula unit


#x
Material: CeHoPu2
Method: DFT, PBE
State: optimized geometry

Geometry as POSCAR:
```
CeHoPu2
1.0
3.599 0.000 0.000
1.800 3.117 0.000
1.800 1.039 9.310
Pu Ho Ce
2 1 1
Direct
0.062 0.062 0.814
0.356 0.356 0.932
0.928 0.928 0.216
0.154 0.154 0.538
```

Results
symmetry = R3m
spin magnetization = 0.76 μB per formula unit


Pick #x: it beats the second-best structure by 765 meV per atom.


#w
Material: CeHoPu2
Method: DFT, PBE
State: optimized geometry

Geometry as POSCAR:
```
CeHoPu2
1.0
-1.704 -3.511 2.659
3.248 1.039 3.453
-3.153 3.074 2.040
Ce Pu Ho
1 2 1
Direct
0.500 0.500 0.500
0.000 0.500 0.000
0.000 0.000 0.500
0.500 0.000 0.000
```

Results
symmetry = P4/mmm
spin magnetization = 12.47 μB per formula unit


#x
Material: CeHoPu2
Method: DFT, PBE
State: optimized geometry

Geometry as POSCAR:
```
CeHoPu2
1.0
-1.203 -0.809 -3.019
3.053 0.387 -1.321
1.886 -9.106 1.689
Ce Ho Pu
1 1 2
Direct
0.500 0.500 0.500
0.500 0.500 0.000
0.000 0.000 0.730
0.000 0.000 0.270
```

Results
symmetry = P4/mmm
spin magnetization = 11.08 μB per formula unit


#y
Material: CeHoPu2
Method: DFT, PBE
State: optimized geometry

Geometry as POSCAR:
```
CeHoPu2
1.0
-1.619 -4.674 -2.223
-2.691 -3.637 2.991
-5.272 -0.888 -0.907
Pu Ho Ce
2 1 1
Direct
0.250 0.250 0.250
0.750 0.750 0.750
0.000 0.000 0.000
0.500 0.500 0.500
```

Results
symmetry = Fm-3m
spin magnetization = 13.97 μB per formula unit


Pick #x: it beats the second-best structure by 27 meV per atom.


#w
Material: CeHoPu
Method: DFT, PBE
State: optimized geometry

Geometry as POSCAR:
```
CeHoPu
1.0
3.429 0.000 0.000
0.000 5.429 0.000
0.000 0.000 8.963
Pu Ho Ce
2 2 2
Direct
0.000 0.500 0.768
0.500 0.000 0.232
0.500 0.000 0.606
0.000 0.500 0.394
0.500 0.500 0.025
0.000 0.000 0.975
```

Results
symmetry = Pmmn
spin magnetization = 6.12 μB per formula unit


#x
Material: CeHoPu
Method: DFT, PBE
State: optimized geometry

Geometry as POSCAR:
```
CeHoPu
1.0
3.441 0.000 0.000
0.000 3.441 0.000
-1.721 -1.721 7.100
Pu Ce Ho
1 1 1
Direct
0.657 0.657 0.315
0.011 0.011 0.021
0.332 0.332 0.664
```

Results
symmetry = I4mm
spin magnetization = 5.15 μB per formula unit


#y
Material: CeHoPu
Method: DFT, PBE
State: optimized geometry

Geometry as POSCAR:
```
CeHoPu
1.0
3.173 0.000 0.000
0.000 5.536 0.000
0.000 -2.768 4.794
Pu Ho Ce
1 1 1
Direct
0.667 0.333 0.667
0.167 0.667 0.333
0.166 0.000 0.000
```

Results
symmetry = P-6m2
spin magnetization = 6.10 μB per formula unit


Pick #w: it beats the second-best structure by 9 meV per atom.


#w
Material: CeHo2Ru2
Method: DFT, PBE
State: optimized geometry

Geometry as POSCAR:
```
CeHo2Ru2
1.0
-4.994 -0.092 -1.677
2.070 -5.475 2.413
-2.202 5.706 6.245
Ho Ru Ce
4 4 2
Direct
0.981 0.962 0.770
0.650 0.300 0.510
0.350 0.700 0.490
0.019 0.038 0.230
0.857 0.714 0.394
0.399 0.797 0.184
0.143 0.286 0.606
0.601 0.203 0.816
0.314 0.627 0.894
0.686 0.373 0.106
```

Results
symmetry = C2/m
spin magnetization = 0.00 μB per formula unit


#x
Material: CeHo2Ru2
Method: DFT, PBE
State: optimized geometry

Geometry as POSCAR:
```
CeHo2Ru2
1.0
3.847 0.004 1.636
1.255 5.163 2.377
-0.194 0.516 5.794
Ce Ru Ho
1 2 2
Direct
0.500 0.500 0.000
0.000 0.760 0.740
0.000 0.240 0.260
0.691 0.808 0.308
0.309 0.192 0.692
```

Results
symmetry = Immm
spin magnetization = 0.00 μB per formula unit


Pick #x: it beats the second-best structure by 115 meV per atom.


#w
Material: CeHo5Ru4
Method: DFT, PBE
State: optimized geometry

Geometry as POSCAR:
```
CeHo5Ru4
1.0
-3.257 0.190 -1.256
0.191 -8.084 -1.721
-1.464 1.415 8.876
Ho Ru Ce
5 4 1
Direct
0.156 0.326 0.312
0.813 0.196 0.626
0.844 0.674 0.688
0.500 0.500 0.000
0.187 0.804 0.374
0.649 0.042 0.297
0.351 0.958 0.703
0.024 0.778 0.049
0.976 0.222 0.951
0.500 0.000 0.000
```

Results
symmetry = C2/m
spin magnetization = 0.00 μB per formula unit


#x
Material: CeHo5Ru4
Method: DFT, PBE
State: optimized geometry

Geometry as POSCAR:
```
CeHo5Ru4
1.0
0.636 -2.017 -4.404
5.983 -2.396 1.893
-2.873 -5.165 4.662
Ru Ho Ce
4 5 1
Direct
0.654 0.756 0.307
0.346 0.244 0.693
0.001 0.244 0.000
0.999 0.756 0.000
0.500 0.500 0.000
0.830 0.012 0.661
0.833 0.514 0.667
0.167 0.486 0.333
0.170 0.988 0.339
0.500 0.000 0.000
```

Results
symmetry = P-1
spin magnetization = 0.00 μB per formula unit


Pick #x: it beats the second-best structure by 144 meV per atom.


#w
Material: CeHo3Ru3
Method: DFT, PBE
State: optimized geometry

Geometry as POSCAR:
```
CeHo3Ru3
1.0
-4.328 0.208 -3.844
1.194 -5.667 1.437
-1.551 2.966 4.727
Ho Ru Ce
3 3 1
Direct
0.000 0.001 0.409
0.591 0.592 0.591
0.409 0.001 0.000
0.525 0.026 0.525
0.475 0.501 0.000
0.000 0.501 0.475
0.000 0.405 0.000
```

Results
symmetry = R3m
spin magnetization = 0.00 μB per formula unit


#x
Material: CeHo3Ru3
Method: DFT, PBE
State: optimized geometry

Geometry as POSCAR:
```
CeHo3Ru3
1.0
-1.653 2.849 5.997
-4.369 -5.124 1.216
5.042 -3.442 2.875
Ho Ru Ce
6 6 2
Direct
0.184 0.816 0.500
0.270 0.730 0.000
0.317 0.317 0.585
0.730 0.270 0.000
0.683 0.683 0.415
0.816 0.184 0.500
0.069 0.069 0.809
0.991 0.504 0.745
0.496 0.009 0.255
0.931 0.931 0.191
0.009 0.496 0.255
0.504 0.991 0.745
0.766 0.766 0.896
0.234 0.234 0.104
```

Results
symmetry = C2/m
spin magnetization = 0.00 μB per formula unit


Pick #w: it beats the second-best structure by 100 meV per atom.